Entry 1:
YMn2Cr: optimized geometry, PBEsol.

Structure (CIF):
```
data_YMn2Cr
_cell_length_a 4.451
_cell_length_b 4.451
_cell_length_c 3.040
_cell_angle_alpha 90.00
_cell_angle_beta 90.00
_cell_angle_gamma 90.00
_space_group_name_H-M_alt 'P 4/m m m'
_space_group_IT_number 123
_space_group_name_Hall '-P 4 2'
loop_
_atom_site_label
_atom_site_type_symbol
_atom_site_fract_x
_atom_site_fract_y
_atom_site_fract_z
Y1 Y 0.000 0.000 0.000
Mn1 Mn 0.000 0.500 0.500
Cr1 Cr 0.500 0.500 0.000
```

Computed properties:
final energy = -34.45 eV per formula unit
polymorph energy (0 for the lowest one) = 239.9 meV per atom
spin magnetization = 1.4 Bohr magnetons per cell
E_form = 207 kJ/mol of formula units

***

Entry 2:
CaB2H8: optimized geometry, PBEsol.

Structure (CIF):
```
data_CaB2H8
_cell_length_a 7.254
_cell_length_b 8.564
_cell_length_c 12.562
_cell_angle_alpha 90.00
_cell_angle_beta 90.00
_cell_angle_gamma 90.00
_space_group_name_H-M_alt 'F d d d'
_space_group_IT_number 70
loop_
_space_group_symop_operation_xyz
'x,y,z'
'-x,-y,-z'
'-x+1/4,-y+1/4,z'
'x+1/4,y+1/4,-z'
'x,-y+1/4,-z+1/4'
'-x,y+1/4,z+1/4'
'-x+1/4,y,-z+1/4'
'x+1/4,-y,z+1/4'
'x,y+1/2,z+1/2'
'-x,-y+1/2,-z+1/2'
'-x+1/4,-y+3/4,z+1/2'
'x+1/4,y+3/4,-z+1/2'
'x,-y+3/4,-z+3/4'
'-x,y+3/4,z+3/4'
'-x+1/4,y+1/2,-z+3/4'
'x+1/4,-y+1/2,z+3/4'
'x+1/2,y,z+1/2'
'-x+1/2,-y,-z+1/2'
'-x+3/4,-y+1/4,z+1/2'
'x+3/4,y+1/4,-z+1/2'
'x+1/2,-y+1/4,-z+3/4'
'-x+1/2,y+1/4,z+3/4'
'-x+3/4,y,-z+3/4'
'x+3/4,-y,z+3/4'
'x+1/2,y+1/2,z'
'-x+1/2,-y+1/2,-z'
'-x+3/4,-y+3/4,z'
'x+3/4,y+3/4,-z'
'x+1/2,-y+3/4,-z+1/4'
'-x+1/2,y+3/4,z+1/4'
'-x+3/4,y+1/2,-z+1/4'
'x+3/4,-y+1/2,z+1/4'
loop_
_atom_site_label
_atom_site_type_symbol
_atom_site_fract_x
_atom_site_fract_y
_atom_site_fract_z
Ca1 Ca 0.125 0.125 0.125
B1 B 0.125 0.125 0.352
H1 H 0.015 0.372 0.204
H2 H 0.109 0.010 0.409
```

Computed properties:
final energy = -46.29 eV per formula unit
polymorph energy (0 for the lowest one) = 0.0 meV per atom
spin magnetization = 0.0 Bohr magnetons per cell